No. 1
An optimized crystal structure of CeScAl2Au4. Source: Alexandria via LeMat-Bulk, functional PBE.

Output
magnetic moment: 0.7 μB/cell
DFT total energy: -38.16 eV per formula unit
crystal system: trigonal

Cell and atoms, written as extended XYZ:
```
8
Lattice="4.583 0.000 0.000 2.292 3.969 0.000 2.292 1.323 8.711" Properties=species:S:1:pos:R:3 pbc="T T T"
Ce 0.000 0.000 0.000
Sc 4.583 2.646 4.356
Al 6.875 3.969 6.292
Al 2.292 1.323 2.419
Au 4.583 2.646 7.156
Au 6.875 3.969 3.286
Au 2.292 1.323 5.425
Au 4.583 2.646 1.555
```

=====

No. 2
An optimized crystal structure of LiHoS2. Source: Alexandria via LeMat-Bulk, functional PBE.

Output
magnetic moment: 0.0 μB/cell
DFT total energy: -21.85 eV per formula unit
energy relative to the elements, uncorrected: -1777 meV per atom
crystal system: tetragonal

Cell and atoms, written as extended XYZ:
```
4
Lattice="3.900 0.000 0.000 0.000 3.900 0.000 0.000 0.000 5.298" Properties=species:S:1:pos:R:3 pbc="T T T"
S 1.950 1.950 0.000
S 0.000 0.000 2.649
Ho 0.000 0.000 0.000
Li 1.950 1.950 2.649
```

=====

No. 3
An optimized crystal structure of GdMgGaNi. Source: Alexandria via LeMat-Bulk, functional PBE.

Output
magnetic moment: 7.1 μB/cell
DFT total energy: -25.88 eV per formula unit
crystal system: cubic

Cell and atoms, written as extended XYZ:
```
4
Lattice="-1.946 -3.816 -2.050 2.407 -4.089 -0.173 -1.379 -3.682 2.663" Properties=species:S:1:pos:R:3 pbc="T T T"
Ni 0.000 0.000 0.000
Mg -0.229 -2.897 0.110
Gd -0.688 -8.690 0.330
Ga -0.459 -5.793 0.220
```

=====

No. 4
An optimized crystal structure of LaGdAlTl. Source: Alexandria via LeMat-Bulk, functional PBE.

Output
magnetic moment: 7.2 μB/cell
DFT total energy: -26.54 eV per formula unit
crystal system: cubic

Cell and atoms, written as extended XYZ:
```
4
Lattice="-1.820 4.178 -2.916 1.590 0.612 -5.135 -3.504 -0.840 -4.035" Properties=species:S:1:pos:R:3 pbc="T T T"
Tl 0.000 0.000 0.000
Gd -2.801 2.963 -9.064
Al -1.867 1.975 -6.043
La -0.934 0.988 -3.021
```

=====

No. 5
An optimized crystal structure of CuPtSe2. Source: Alexandria via LeMat-Bulk, functional PBE.

Output
magnetic moment: 0.0 μB/cell
DFT total energy: -15.23 eV per formula unit
energy relative to the elements, uncorrected: 468 meV per atom
crystal system: cubic

Cell and atoms, written as extended XYZ:
```
4
Lattice="-0.236 1.089 4.448 2.127 -2.608 3.115 3.713 1.590 2.171" Properties=species:S:1:pos:R:3 pbc="T T T"
Cu 2.802 0.036 4.867
Pt 4.203 0.053 7.301
Se 0.000 0.000 0.000
Se 1.401 0.018 2.434
```

=====

No. 6
An optimized crystal structure of Y2Ag2Sn. Source: Alexandria via LeMat-Bulk, functional PBE.

Output
magnetic moment: 0.0 μB/cell
DFT total energy: -23.82 eV per formula unit
crystal system: tetragonal

Cell and atoms, written as extended XYZ:
```
5
Lattice="-2.526 2.723 0.872 -2.240 -2.608 1.654 1.725 1.407 8.954" Properties=species:S:1:pos:R:3 pbc="T T T"
Y -1.504 0.346 2.910
Y -1.538 1.176 8.571
Sn 0.000 0.000 0.000
Ag -1.592 2.094 5.545
Ag -1.449 -0.572 5.936
```

=====

No. 7
An optimized crystal structure of Rb2SbRhSe. Source: Alexandria via LeMat-Bulk, functional PBE.

Output
magnetic moment: 1.1 μB/cell
DFT total energy: -16.76 eV per formula unit
energy relative to the elements, uncorrected: 26 meV per atom
crystal system: tetragonal

Cell and atoms, written as extended XYZ:
```
5
Lattice="-4.176 1.075 5.202 3.001 -1.881 2.798 2.834 6.048 1.026" Properties=species:S:1:pos:R:3 pbc="T T T"
Sb 0.829 2.621 4.513
Rh 0.000 0.000 0.000
Se 1.500 -0.940 1.399
Rb 1.417 3.024 0.513
Rb -2.088 0.537 2.601
```

=====

No. 8
An optimized crystal structure of Tb2Ti2Ge2C. Source: Alexandria via LeMat-Bulk, functional PBE.

Output
magnetic moment: 1.1 μB/cell
DFT total energy: -49.35 eV per formula unit
crystal system: tetragonal

Cell and atoms, written as extended XYZ:
```
7
Lattice="4.177 0.000 0.000 0.000 4.177 0.000 -2.089 -2.089 7.591" Properties=species:S:1:pos:R:3 pbc="T T T"
Tb 0.000 0.000 2.522
Tb 2.089 2.089 5.069
Ti 0.000 2.089 0.000
Ti 2.089 0.000 0.000
Ge 0.000 0.000 5.679
Ge 2.089 2.089 1.912
C 0.000 0.000 0.000
```